[1]
Crystalline RbIn3Ga3 at its relaxed geometry. Source: Alexandria, functional PBE-GGA.

Cell: 9.9665 4.5444 9.9813 Å, 90.00 119.85 90.00°
Closest atoms and distances in Å follow each position.
Sites, in units of the cell vectors:
1 Rb 0.1665 0.2500 0.3329  9 Ga 3.37-3.38
2 Rb 0.8335 0.7500 0.6671  9 Ga 3.37-3.38
3 In 0.2239 0.2500 0.9202  4 Ga 2.95-3.28
4 In 0.3032 0.7500 0.7234  4 Ga 2.94-3.28
5 In 0.4204 0.7500 0.1967  4 Ga 2.94-3.28
6 In 0.5796 0.2500 0.8033  4 Ga 2.94-3.28
7 In 0.6968 0.2500 0.2766  4 Ga 2.94-3.28
8 In 0.7761 0.7500 0.0798  4 Ga 2.95-3.28
9 Ga 0.0303 0.2500 0.5810  2 Ga 2.68, 1 In 2.95
10 Ga 0.0808 0.7500 0.0507  2 Ga 2.68, 1 In 2.94
11 Ga 0.4489 0.7500 0.5296  2 Ga 2.67, 1 In 2.94
12 Ga 0.5511 0.2500 0.4704  2 Ga 2.67, 1 In 2.94
13 Ga 0.9192 0.2500 0.9493  2 Ga 2.68, 1 In 2.94
14 Ga 0.9697 0.7500 0.4190  2 Ga 2.68, 1 In 2.95

space-group type	P2_1/m (11)
E above lowest polymorph	18	meV per atom



[2]
Crystalline ZrBeSeI2 at its relaxed geometry. Source: Alexandria, functional PBE-GGA.

Cell: 6.5614 6.5614 3.8250 Å, 90.00 90.00 90.00°
Closest atoms and distances in Å follow each position.
Sites, in units of the cell vectors:
1 Zr 0.0000 0.0000 0.0000  8 I 3.80, 2 Zr 3.83
2 Be 0.5000 0.5000 0.0000  2 Se 1.91
3 Se 0.5000 0.5000 0.5000  2 Be 1.91
4 I 0.0000 0.5000 0.5000  2 Se 3.28
5 I 0.5000 0.0000 0.5000  2 Se 3.28

space-group type	P4/mmm (123)
energy relative to the elements, uncorrected	0.6515	eV per atom



[3]
Crystalline ThGa2Pd at its relaxed geometry. Source: Alexandria, functional PBE-GGA.

Cell: 3.3241 3.3241 7.1019 Å, 90.00 90.00 90.00°
Closest atoms and distances in Å follow each position.
Sites, in units of the cell vectors:
1 Th 0.0000 0.0000 0.0000  8 Ga 3.19, 4 Th 3.32, 2 Pd 3.55
2 Ga 0.5000 0.5000 0.3030  4 Pd 2.74, 1 Ga 2.80
3 Ga 0.5000 0.5000 0.6970  4 Pd 2.74, 1 Ga 2.80
4 Pd 0.0000 0.0000 0.5000  8 Ga 2.74

space-group type	P4/mmm (123)



Number 1: Fermi-level density of states 7.16 states/eV per cell, E_tot -17.682 eV/f.u.. Number 2: Fermi-level density of states 4.33 states/eV per cell, E_tot -15.602 eV/f.u.. Number 3: Fermi-level density of states 2.40 states/eV per cell, E_tot -20.752 eV/f.u..